The following is a DFT calculation (SCAN) of Cs3IO at its PBEsol-relaxed geometry.

Summary:
Final energy in eV/atom: -32.717
Calculated volume in Å³ per cell: 393
Uncorrected formation energy in kcal/mol of atoms: -33.12
Total magnetization in μB/cell: 0.150

a b c (Å): 8.0134 8.0134 7.0580
angles (deg): 90.00 90.00 120.00
Space group P6_3/mmc (No. 194)
Asymmetric unit:
1 Cs 0.1563 0.3126 0.2500 x6
2 I 0.3333 0.6667 0.7500 x2
3 O 0.0000 0.0000 0.0000 x2

The following is a DFT calculation (SCAN) of Cs3IO5 at its PBEsol-relaxed geometry.

Summary:
Final energy in eV/atom: -21.434
Calculated volume in Å³ per cell: 777
Uncorrected formation energy in kcal/mol of atoms: -29.66
Total magnetization in μB/cell: 0.001

a b c (Å): 9.599 8.781 9.219
angles (deg): 90.00 90.00 90.00
Space group Cmcm (No. 63)
Asymmetric unit:
1 Cs 0.000 0.203 0.250 x4
2 Cs 0.230 0.500 0.000 x8
3 I 0.000 0.259 0.750 x4
4 O 0.000 0.169 0.569 x8
5 O 0.000 0.469 0.750 x4
6 O 0.195 0.252 0.750 x8

The following is a DFT calculation (SCAN) of CsRuIO2 at its PBEsol-relaxed geometry.

Summary:
Final energy in eV/atom: -24.586
Calculated volume in Å³ per cell: 99
Uncorrected formation energy in kcal/mol of atoms: -5.03
Total magnetization in μB/cell: 2.646

a b c (Å): 4.334 4.334 5.284
angles (deg): 90.00 90.00 90.00
Space group P4/mmm (No. 123)
Asymmetric unit:
1 Cs 0.000 0.000 0.000 x1
2 Ru 0.500 0.500 0.500 x1
3 I 0.500 0.500 0.000 x1
4 O 0.000 0.500 0.500 x2

The following is a DFT calculation (SCAN) of CsSbIO2 at its PBEsol-relaxed geometry.

Summary:
Final energy in eV/atom: -24.635
Calculated volume in Å³ per cell: 117
Uncorrected formation energy in kcal/mol of atoms: 5.08
Total magnetization in μB/cell: 0.000

a b c (Å): 4.495 4.495 5.778
angles (deg): 90.00 90.00 90.00
Space group P4/mmm (No. 123)
Asymmetric unit:
1 Cs 0.000 0.000 0.000 x1
2 Sb 0.500 0.500 0.000 x1
3 I 0.500 0.500 0.500 x1
4 O 0.000 0.500 0.500 x2